Crystalline Rb2MgCoO4 at its relaxed geometry, computed with PBE with a Hubbard U.

a b c (Å): 5.0997 12.0850 21.1762
angles (deg): 90.00 90.00 90.00
With the nearest neighbours (Å) after each atom.
Space group Fddd (No. 70, origin choice 2)
Unique sites:
Rb 0.1250 0.1250 0.3008  8 O 3.20-3.38
Mg 0.1250 0.1250 0.1250  4 O 1.96
Co 0.1250 0.1250 0.6250  4 O 1.82
O 0.1042 0.2896 0.8307  1 Co 1.82, 1 Mg 1.96

Values from the calculation:
The raw total energy comes out at -317.80 eV/cell.